Material: NaMg3Hg
Method: DFT, PBE
State: optimized geometry

Results
Formation energy from the elements ... 2.97 eV/f.u.
Space group ... Pm-3m
E ... -0.051 Ry/atom

```
NaMg3Hg
1.0
5.552 0.000 0.000
0.000 5.552 0.000
0.000 0.000 5.552
Mg Hg Na
3 1 1
direct
0.000 0.000 0.500
0.000 0.500 0.000
0.500 0.000 0.000
0.500 0.500 0.500
0.000 0.000 0.000
```